No. 1
Entry from Alexandria via LeMat-Bulk: a relaxed structure of Ca2TlZn2 (PBE).

Lattice parameters (Å, degrees): 5.826 5.826 5.826 119.85 119.85 90.26
Fractional coordinates of all 5 atoms:
Ca: 0.250 0.750 0.500
Ca: 0.750 0.250 0.500
Tl: 0.000 0.000 0.000
Zn: 0.356 0.356 0.000
Zn: 0.644 0.644 0.000

Values from the calculation:
Theoretical density: 4.9 g cm⁻³
ΔH_f (0 K): -0.099 eV/atom
Final energy: -1.8830 eV per atom
Density of states at the Fermi level: 2.807 states/eV per cell
Total magnetization: 0.0 μB/cell

***

No. 2
Entry from Alexandria via LeMat-Bulk: a relaxed structure of CaTl2Zn2 (PBE).

Lattice parameters (Å, degrees): 6.620 6.620 6.620 138.73 138.73 59.79
Fractional coordinates of all 5 atoms:
Ca: 0.000 0.000 0.000
Tl: 0.250 0.750 0.500
Tl: 0.750 0.250 0.500
Zn: 0.395 0.395 0.000
Zn: 0.605 0.605 0.000

Values from the calculation:
Theoretical density: 7.7 g cm⁻³
Energy relative to the lowest polymorph listed for this composition: 0.000 eV per atom
ΔH_f (0 K): -0.110 eV/atom
Final energy: -1.9665 eV per atom
Density of states at the Fermi level: 2.379 states/eV per cell
Total magnetization: 0.0 μB/cell

***

No. 3
Entry from Alexandria via LeMat-Bulk: a relaxed structure of Ca2Tl2Zn (PBE).

Lattice parameters (Å, degrees): 6.253 6.253 11.563 114.22 114.22 43.39
Fractional coordinates of all 10 atoms:
Ca: 0.007 0.007 0.336
Ca: 0.183 0.183 0.109
Ca: 0.817 0.817 0.891
Ca: 0.993 0.993 0.664
Tl: 0.346 0.346 0.436
Tl: 0.465 0.465 0.118
Tl: 0.535 0.535 0.882
Tl: 0.654 0.654 0.564
Zn: 0.289 0.289 0.668
Zn: 0.711 0.711 0.332

Values from the calculation:
Theoretical density: 6.6 g cm⁻³
Energy relative to the lowest polymorph listed for this composition: 0.000 eV per atom
ΔH_f (0 K): -0.317 eV/atom
Final energy: -2.3186 eV per atom
Density of states at the Fermi level: 5.460 states/eV per cell
Total magnetization: 0.0 μB/cell

***

No. 4
Entry from Alexandria via LeMat-Bulk: a relaxed structure of Ca2TlZn2 (PBE).

Lattice parameters (Å, degrees): 9.960 9.960 9.960 158.50 158.50 30.59
Fractional coordinates of all 5 atoms:
Ca: 0.109 0.109 0.000
Ca: 0.891 0.891 0.000
Tl: 0.500 0.500 0.000
Zn: 0.250 0.750 0.500
Zn: 0.750 0.250 0.500

Values from the calculation:
Theoretical density: 5.2 g cm⁻³
ΔH_f (0 K): -0.175 eV/atom
Final energy: -1.9589 eV per atom
Density of states at the Fermi level: 4.679 states/eV per cell
Total magnetization: 0.0 μB/cell